VASP calculation (PBE) on crystalline Nd5Co2Pb at its relaxed geometry.

Unit cell a=7.882 b=7.882 c=8.934 alpha=116.18 beta=116.18 gamma=90.00
Element x y z (fractional)
Nd (0.528, 0.710, 0.738)
Nd (0.790, 0.972, 0.262)
Nd (0.000, 0.000, 0.000)
Nd (0.500, 0.500, 0.000)
Nd (0.210, 0.028, 0.738)
Nd (0.710, 0.210, 0.738)
Nd (0.028, 0.528, 0.738)
Nd (0.290, 0.790, 0.262)
Nd (0.972, 0.472, 0.262)
Nd (0.472, 0.290, 0.262)
Co (0.138, 0.362, 0.000)
Co (0.638, 0.138, 0.000)
Co (0.362, 0.862, 0.000)
Co (0.862, 0.638, 0.000)
Pb (0.750, 0.750, 0.500)
Pb (0.250, 0.250, 0.500)

Computed properties:
formation energy = -0.203 eV/atom
calculated density = 8.01 g/cm³
D(E_F) = 9.194 states/eV/f.u.
total moment = 0.00 μB per atom

VASP calculation (PBE) on crystalline Nd3Co3Pb at its relaxed geometry.

Unit cell a=3.840 b=10.071 c=10.071 alpha=120.00 beta=90.00 gamma=90.00
Last column: magnetic moment on the atom in μB.
Element x y z (fractional)
Nd (0.750, 0.371, 0.315)  -0.15
Nd (0.750, 0.944, 0.629)  -0.15
Nd (0.750, 0.685, 0.056)  -0.15
Nd (0.250, 0.629, 0.685)  -0.15
Nd (0.250, 0.056, 0.371)  -0.15
Nd (0.250, 0.315, 0.944)  -0.15
Co (0.750, 0.019, 0.150)  0.94
Co (0.750, 0.131, 0.981)  0.94
Co (0.750, 0.850, 0.869)  0.94
Co (0.250, 0.981, 0.850)  0.94
Co (0.250, 0.869, 0.019)  0.94
Co (0.250, 0.150, 0.131)  0.94
Pb (0.750, 0.333, 0.667)  0.01
Pb (0.250, 0.667, 0.333)  0.01

Computed properties:
formation energy = -0.182 eV/atom
calculated density = 8.04 g/cm³
D(E_F) = 9.671 states/eV/f.u.
total moment = 0.27 μB per atom

VASP calculation (PBE) on crystalline Nd12CoPb6 at its relaxed geometry.

Unit cell a=8.648 b=8.648 c=8.648 alpha=92.08 beta=92.08 gamma=92.08
Element x y z (fractional)
Nd (0.801, 0.581, 0.451)
Nd (0.451, 0.801, 0.581)
Nd (0.581, 0.451, 0.801)
Nd (0.199, 0.419, 0.549)
Nd (0.549, 0.199, 0.419)
Nd (0.419, 0.549, 0.199)
Nd (0.959, 0.080, 0.303)
Nd (0.920, 0.697, 0.041)
Nd (0.697, 0.041, 0.920)
Nd (0.041, 0.920, 0.697)
Nd (0.080, 0.303, 0.959)
Nd (0.303, 0.959, 0.080)
Co (0.000, 0.000, 0.000)
Pb (0.638, 0.863, 0.259)
Pb (0.741, 0.362, 0.137)
Pb (0.137, 0.741, 0.362)
Pb (0.362, 0.137, 0.741)
Pb (0.259, 0.638, 0.863)
Pb (0.863, 0.259, 0.638)

Computed properties:
formation energy = -0.314 eV/atom
calculated density = 7.80 g/cm³
D(E_F) = 22.086 states/eV/f.u.
total moment = 0.00 μB per atom

VASP calculation (PBE) on crystalline Nd4CoPb at its relaxed geometry.

Unit cell a=6.200 b=7.151 c=9.208 alpha=112.85 beta=108.66 gamma=90.00
Element x y z (fractional)
Nd (0.205, 0.690, 0.379)
Nd (0.382, 0.132, 0.766)
Nd (0.000, 0.237, 0.000)
Nd (0.618, 0.367, 0.234)
Nd (0.795, 0.310, 0.621)
Nd (0.618, 0.868, 0.234)
Nd (0.000, 0.763, 0.000)
Nd (0.382, 0.633, 0.766)
Co (0.325, 0.524, 0.047)
Co (0.675, 0.476, 0.953)
Pb (0.806, 0.806, 0.612)
Pb (0.194, 0.194, 0.388)

Computed properties:
formation energy = -0.243 eV/atom
calculated density = 7.94 g/cm³
D(E_F) = 5.486 states/eV/f.u.
total moment = 0.00 μB per atom

VASP calculation (PBE) on crystalline Nd12Co6Pb at its relaxed geometry.

Unit cell a=8.695 b=8.695 c=8.695 alpha=109.47 beta=109.47 gamma=109.47
Element x y z (fractional)
Nd (0.807, 0.693, 0.500)
Nd (0.193, 0.307, 0.500)
Nd (0.193, 0.693, 0.886)
Nd (0.807, 0.307, 0.114)
Nd (0.693, 0.500, 0.807)
Nd (0.307, 0.500, 0.193)
Nd (0.693, 0.886, 0.193)
Nd (0.307, 0.114, 0.807)
Nd (0.500, 0.807, 0.693)
Nd (0.500, 0.193, 0.307)
Nd (0.114, 0.807, 0.307)
Nd (0.886, 0.193, 0.693)
Co (0.889, 0.389, 0.500)
Co (0.111, 0.611, 0.500)
Co (0.389, 0.500, 0.889)
Co (0.611, 0.500, 0.111)
Co (0.500, 0.889, 0.389)
Co (0.500, 0.111, 0.611)
Pb (0.000, 0.000, 0.000)

Computed properties:
formation energy = -0.157 eV/atom
calculated density = 7.52 g/cm³
D(E_F) = 11.281 states/eV/f.u.
total moment = 0.00 μB per atom

VASP calculation (PBE) on crystalline Nd8CoPd2 at its relaxed geometry.

Unit cell a=5.135 b=6.973 c=9.203 alpha=99.38 beta=106.20 gamma=90.00
Element x y z (fractional)
Nd (0.412, 0.558, 0.825)
Nd (0.659, 0.971, 0.318)
Nd (0.797, 0.669, 0.594)
Nd (0.971, 0.216, 0.942)
Nd (0.203, 0.331, 0.406)
Nd (0.341, 0.029, 0.682)
Nd (0.588, 0.442, 0.175)
Nd (0.029, 0.784, 0.058)
Co (0.500, 0.000, 0.000)
Pd (0.802, 0.257, 0.604)
Pd (0.198, 0.743, 0.396)

Computed properties:
distance to the lowest polymorph of the same formula = 0.000 eV/atom
formation energy = -0.251 eV/atom
calculated density = 7.59 g/cm³
D(E_F) = 13.095 states/eV/f.u.
total moment = 0.00 μB per atom

VASP calculation (PBE) on crystalline Nd4CoPd at its relaxed geometry.

Unit cell a=7.172 b=6.904 c=8.481 alpha=109.69 beta=110.81 gamma=99.55
Element x y z (fractional)
Nd (0.948, 0.286, 0.070)
Nd (0.622, 0.784, 0.070)
Nd (0.278, 0.531, 0.569)
Nd (0.722, 0.469, 0.431)
Nd (0.209, 0.962, 0.431)
Nd (0.378, 0.216, 0.930)
Nd (0.791, 0.038, 0.569)
Nd (0.052, 0.714, 0.930)
Co (0.089, 0.839, 0.677)
Co (0.911, 0.161, 0.323)
Pd (0.375, 0.625, 0.250)
Pd (0.625, 0.375, 0.750)

Computed properties:
distance to the lowest polymorph of the same formula = 0.042 eV/atom
formation energy = -0.231 eV/atom
calculated density = 7.05 g/cm³
D(E_F) = 6.681 states/eV/f.u.
total moment = 0.00 μB per atom

VASP calculation (PBE) on crystalline Nd12Co6Pd at its relaxed geometry.

Unit cell a=8.592 b=8.592 c=8.592 alpha=109.47 beta=109.47 gamma=109.47
Element x y z (fractional)
Nd (0.303, 0.111, 0.808)
Nd (0.303, 0.495, 0.192)
Nd (0.697, 0.505, 0.808)
Nd (0.697, 0.889, 0.192)
Nd (0.111, 0.808, 0.303)
Nd (0.495, 0.192, 0.303)
Nd (0.505, 0.808, 0.697)
Nd (0.889, 0.192, 0.697)
Nd (0.808, 0.303, 0.111)
Nd (0.192, 0.303, 0.495)
Nd (0.808, 0.697, 0.505)
Nd (0.192, 0.697, 0.889)
Co (0.387, 0.500, 0.887)
Co (0.613, 0.500, 0.113)
Co (0.500, 0.887, 0.387)
Co (0.500, 0.113, 0.613)
Co (0.887, 0.387, 0.500)
Co (0.113, 0.613, 0.500)
Pd (0.000, 0.000, 0.000)

Computed properties:
formation energy = -0.131 eV/atom
calculated density = 7.45 g/cm³
D(E_F) = 13.557 states/eV/f.u.
total moment = 0.00 μB per atom

VASP calculation (PBE) on crystalline Nd4Co3Pd at its relaxed geometry.

Unit cell a=4.069 b=4.048 c=11.055 alpha=90.00 beta=90.00 gamma=90.00
Last column: magnetic moment on the atom in μB.
Element x y z (fractional)
Co (0.000, 0.500, 0.553)  0.84
Co (0.000, 0.000, 0.450)  0.89
Co (0.500, 0.000, 0.917)  -0.14
Nd (0.500, 0.500, 0.366)  -0.13
Nd (0.000, 0.500, 0.855)  0.00
Nd (0.000, 0.000, 0.140)  -0.03
Nd (0.500, 0.000, 0.646)  -0.09
Pd (0.500, 0.500, 0.073)  -0.01

Computed properties:
formation energy = -0.214 eV/atom
calculated density = 7.84 g/cm³
D(E_F) = 6.266 states/eV/f.u.
total moment = 0.13 μB per atom

VASP calculation (PBE) on crystalline Nd2CoPd at its relaxed geometry.

Unit cell a=3.527 b=3.527 c=7.177 alpha=90.00 beta=90.00 gamma=90.00
Last column: magnetic moment on the atom in μB.
Element x y z (fractional)
Co (0.500, 0.500, 0.000)  0.81
Nd (0.000, 0.000, 0.761)  -0.09
Nd (0.000, 0.000, 0.239)  -0.09
Pd (0.500, 0.500, 0.500)  -0.02

Computed properties:
formation energy = -0.352 eV/atom
calculated density = 8.44 g/cm³
D(E_F) = 2.293 states/eV/f.u.
total moment = 0.11 μB per atom

VASP calculation (PBE) on crystalline Nd2CoPd at its relaxed geometry.

Unit cell a=3.658 b=3.658 c=9.181 alpha=78.51 beta=78.51 gamma=60.00
Element x y z (fractional)
Co (0.500, 0.500, 0.500)
Nd (0.102, 0.102, 0.693)
Nd (0.898, 0.898, 0.307)
Pd (0.000, 0.000, 0.000)

Computed properties:
formation energy = 0.159 eV/atom
calculated density = 7.28 g/cm³
D(E_F) = 2.338 states/eV/f.u.
total moment = 0.00 μB per atom

VASP calculation (PBE) on crystalline Nd4Co2Pd at its relaxed geometry.

Unit cell a=3.940 b=5.647 c=18.557 alpha=90.00 beta=90.00 gamma=110.42
Last column: magnetic moment on the atom in μB.
Element x y z (fractional)
Co (0.216, 0.431, 0.481)  0.94
Co (0.784, 0.569, 0.981)  0.94
Co (0.216, 0.431, 0.019)  0.94
Co (0.784, 0.569, 0.519)  0.94
Nd (0.781, 0.561, 0.133)  -0.06
Nd (0.781, 0.561, 0.367)  -0.06
Nd (0.219, 0.439, 0.867)  -0.06
Nd (0.219, 0.439, 0.633)  -0.06
Nd (0.938, 0.877, 0.750)  -0.02
Nd (0.062, 0.123, 0.250)  -0.02
Nd (0.500, 0.000, 0.000)  -0.11
Nd (0.500, 0.000, 0.500)  -0.11
Pd (0.648, 0.296, 0.750)  -0.01
Pd (0.352, 0.704, 0.250)  -0.01

Computed properties:
formation energy = -0.129 eV/atom
calculated density = 6.88 g/cm³
D(E_F) = 7.532 states/eV/f.u.
total moment = 0.18 μB per atom

VASP calculation (PBE) on crystalline Nd3CoPd at its relaxed geometry.

Unit cell a=3.870 b=8.264 c=8.379 alpha=85.66 beta=90.02 gamma=103.56
Last column: magnetic moment on the atom in μB.
Element x y z (fractional)
Nd (0.078, 0.190, 0.392)  0.00
Nd (0.420, 0.874, 0.664)  -0.02
Nd (0.624, 0.280, 0.758)  -0.02
Nd (0.966, 0.964, 0.029)  0.00
Nd (0.257, 0.546, 0.015)  -0.03
Nd (0.787, 0.608, 0.406)  -0.03
Co (0.241, 0.515, 0.657)  0.35
Co (0.803, 0.639, 0.764)  0.35
Pd (0.431, 0.895, 0.292)  0.00
Pd (0.613, 0.259, 0.129)  0.00

Computed properties:
distance to the lowest polymorph of the same formula = 0.011 eV/atom
formation energy = -0.323 eV/atom
calculated density = 7.65 g/cm³
D(E_F) = 5.706 states/eV/f.u.
total moment = 0.05 μB per atom

VASP calculation (PBE) on crystalline Nd5Co2Pd at its relaxed geometry.

Unit cell a=7.631 b=7.631 c=8.759 alpha=115.82 beta=115.82 gamma=90.00
Element x y z (fractional)
Nd (0.530, 0.697, 0.727)
Nd (0.803, 0.970, 0.273)
Nd (0.000, 0.000, 0.000)
Nd (0.500, 0.500, 0.000)
Nd (0.197, 0.030, 0.727)
Nd (0.697, 0.197, 0.727)
Nd (0.030, 0.530, 0.727)
Nd (0.303, 0.803, 0.273)
Nd (0.970, 0.470, 0.273)
Nd (0.470, 0.303, 0.273)
Co (0.127, 0.373, 0.000)
Co (0.627, 0.127, 0.000)
Co (0.373, 0.873, 0.000)
Co (0.873, 0.627, 0.000)
Pd (0.750, 0.750, 0.500)
Pd (0.250, 0.250, 0.500)

Computed properties:
formation energy = -0.233 eV/atom
calculated density = 7.82 g/cm³
D(E_F) = 9.020 states/eV/f.u.
total moment = 0.00 μB per atom

VASP calculation (PBE) on crystalline Nd3CoPd at its relaxed geometry.

Unit cell a=3.936 b=8.357 c=8.378 alpha=110.31 beta=90.00 gamma=90.00
Last column: magnetic moment on the atom in μB.
Element x y z (fractional)
Nd (0.250, 0.597, 0.350)  -0.06
Nd (0.750, 0.403, 0.650)  -0.06
Nd (0.250, 0.045, 0.681)  -0.01
Nd (0.750, 0.226, 0.063)  -0.06
Nd (0.750, 0.955, 0.319)  -0.01
Nd (0.250, 0.774, 0.937)  -0.06
Co (0.750, 0.560, 0.055)  0.94
Co (0.250, 0.440, 0.945)  0.94
Pd (0.750, 0.770, 0.652)  -0.01
Pd (0.250, 0.230, 0.348)  -0.01

Computed properties:
distance to the lowest polymorph of the same formula = 0.000 eV/atom
formation energy = -0.334 eV/atom
calculated density = 7.69 g/cm³
D(E_F) = 4.985 states/eV/f.u.
total moment = 0.13 μB per atom

VASP calculation (PBE) on crystalline Nd8CoPd2 at its relaxed geometry.

Unit cell a=6.446 b=7.728 c=7.728 alpha=108.77 beta=103.62 gamma=103.62
Element x y z (fractional)
Nd (0.609, 0.360, 0.092)
Nd (0.609, 0.092, 0.360)
Nd (0.189, 0.368, 0.368)
Nd (0.968, 0.158, 0.845)
Nd (0.968, 0.845, 0.158)
Nd (0.787, 0.637, 0.637)
Nd (0.328, 0.916, 0.642)
Nd (0.328, 0.642, 0.916)
Co (0.237, 0.998, 0.998)
Pd (0.489, 0.696, 0.323)
Pd (0.489, 0.323, 0.696)

Computed properties:
distance to the lowest polymorph of the same formula = 0.063 eV/atom
formation energy = -0.188 eV/atom
calculated density = 7.10 g/cm³
D(E_F) = 11.035 states/eV/f.u.
total moment = 0.00 μB per atom

VASP calculation (PBE) on crystalline Nd6CoPd2 at its relaxed geometry.

Unit cell a=6.735 b=7.475 c=10.307 alpha=90.00 beta=88.18 gamma=90.00
Element x y z (fractional)
Nd (0.146, 0.035, 0.249)
Nd (0.171, 0.319, 0.568)
Nd (0.172, 0.320, 0.936)
Nd (0.328, 0.820, 0.564)
Nd (0.329, 0.819, 0.932)
Nd (0.354, 0.535, 0.251)
Nd (0.854, 0.965, 0.751)
Nd (0.829, 0.681, 0.432)
Nd (0.828, 0.680, 0.064)
Nd (0.672, 0.180, 0.436)
Nd (0.671, 0.181, 0.068)
Nd (0.646, 0.465, 0.749)
Co (0.500, 0.500, 0.000)
Co (0.000, 0.000, 0.500)
Pd (0.059, 0.614, 0.760)
Pd (0.441, 0.114, 0.740)
Pd (0.559, 0.886, 0.260)
Pd (0.941, 0.386, 0.240)

Computed properties:
formation energy = -0.364 eV/atom
calculated density = 7.28 g/cm³
D(E_F) = 9.809 states/eV/f.u.
total moment = 0.00 μB per atom

VASP calculation (PBE) on crystalline Nd4CoPd at its relaxed geometry.

Unit cell a=6.378 b=7.505 c=7.505 alpha=110.32 beta=97.65 gamma=97.65
Element x y z (fractional)
Nd (0.931, 0.609, 0.772)
Nd (0.027, 0.935, 0.266)
Nd (0.569, 0.228, 0.391)
Nd (0.473, 0.734, 0.065)
Nd (0.527, 0.266, 0.935)
Nd (0.431, 0.772, 0.609)
Nd (0.973, 0.065, 0.734)
Nd (0.069, 0.391, 0.228)
Co (0.250, 0.999, 0.001)
Co (0.750, 0.001, 0.999)
Pd (0.750, 0.627, 0.373)
Pd (0.250, 0.373, 0.627)

Computed properties:
distance to the lowest polymorph of the same formula = 0.000 eV/atom
formation energy = -0.272 eV/atom
calculated density = 7.53 g/cm³
D(E_F) = 6.888 states/eV/f.u.
total moment = 0.00 μB per atom

VASP calculation (PBE) on crystalline PmNdCoPd at its relaxed geometry.

Unit cell a=5.000 b=5.000 c=5.000 alpha=60.00 beta=60.00 gamma=60.00
Last column: magnetic moment on the atom in μB.
Element x y z (fractional)
Co (0.500, 0.500, 0.500)  0.60
Nd (0.250, 0.250, 0.250)  -0.07
Pd (0.000, 0.000, 0.000)  0.00
Pm (0.750, 0.750, 0.750)  -0.08

Computed properties:
formation energy = -0.335 eV/atom
calculated density = 8.54 g/cm³
D(E_F) = 3.003 states/eV/f.u.
total moment = 0.08 μB per atom

VASP calculation (PBE) on crystalline PrNdCoPd at its relaxed geometry.

Unit cell a=5.037 b=5.037 c=5.037 alpha=60.00 beta=60.00 gamma=60.00
Last column: magnetic moment on the atom in μB.
Element x y z (fractional)
Pr (0.500, 0.500, 0.500)  -0.07
Co (0.250, 0.250, 0.250)  0.64
Nd (0.000, 0.000, 0.000)  -0.08
Pd (0.750, 0.750, 0.750)  0.00

Computed properties:
formation energy = -0.303 eV/atom
calculated density = 8.28 g/cm³
D(E_F) = 2.770 states/eV/f.u.
total moment = 0.08 μB per atom

VASP calculation (PBE) on crystalline NdScCoPd at its relaxed geometry.

Unit cell a=4.807 b=4.807 c=4.807 alpha=60.00 beta=60.00 gamma=60.00
Last column: magnetic moment on the atom in μB.
Element x y z (fractional)
Sc (0.000, 0.000, 0.000)  -0.06
Co (0.750, 0.750, 0.750)  0.40
Nd (0.500, 0.500, 0.500)  -0.03
Pd (0.250, 0.250, 0.250)  0.00

Computed properties:
formation energy = -0.381 eV/atom
calculated density = 7.50 g/cm³
D(E_F) = 3.112 states/eV/f.u.
total moment = 0.06 μB per atom